(1)
{"formula": "CoRh2", "functional": "PBE-GGA", "state": "relaxed", "lattice": [[4.0814, 0.0000, 0.0000], [0.0000, 4.0814, 0.0000], [0.0000, 0.0000, 2.7271]], "species": ["Co", "Rh", "Rh"], "fractional_positions": [[0.0000, 0.0000, 0.0000], [0.0000, 0.5000, 0.5000], [0.5000, 0.0000, 0.5000]], "magnetic_moment_mub_per_atom": 0.679, "final_energy_ha_per_atom": -0.24626, "formation_energy_ev_per_fu": 1.706, "space_group": "P4/mmm"}

***

(2)
{"formula": "UMnB2Ru5", "functional": "PBE-GGA", "state": "relaxed", "lattice": [[4.1217, 0.0000, 0.0000], [0.0000, 4.1217, 0.0000], [0.0000, 0.0000, 8.4662]], "species": ["U", "Mn", "B", "B", "Ru", "Ru", "Ru", "Ru", "Ru"], "fractional_positions": [[0.5000, 0.5000, 0.5000], [0.0000, 0.0000, 0.0000], [0.0000, 0.0000, 0.2447], [0.0000, 0.0000, 0.7553], [0.0000, 0.0000, 0.5000], [0.0000, 0.5000, 0.7308], [0.5000, 0.0000, 0.2692], [0.0000, 0.5000, 0.2692], [0.5000, 0.0000, 0.7308]], "magnetic_moment_mub_per_atom": 0.445, "final_energy_ha_per_atom": -0.32497, "formation_energy_ev_per_fu": 0.605, "space_group": "P4/mmm"}

***

(3)
{"formula": "Sr2YMnRe", "functional": "PBE-GGA", "state": "relaxed", "lattice": [[6.2658, 0.0000, 0.0000], [0.0000, 4.8035, 0.0000], [0.0000, 0.0000, 6.2658]], "species": ["Y", "Re", "Mn", "Sr", "Sr"], "fractional_positions": [[0.0000, 0.0000, 0.0000], [0.0000, 0.5000, 0.0000], [0.5000, 0.5000, 0.5000], [0.0000, 0.0000, 0.5000], [0.5000, 0.0000, 0.0000]], "magnetic_moment_mub_per_atom": 0.881, "final_energy_ha_per_atom": -0.17126, "formation_energy_ev_per_fu": 8.144, "space_group": "P4/mmm"}

***

(4)
{"formula": "CaTlSn", "functional": "PBE-GGA", "state": "relaxed", "lattice": [[5.8947, 0.0000, 1.2605], [0.0000, 10.0938, 0.0000], [0.4760, 0.0000, 6.0008]], "species": ["Ca", "Ca", "Ca", "Ca", "Tl", "Tl", "Tl", "Tl", "Sn", "Sn", "Sn", "Sn"], "fractional_positions": [[0.8789, 0.2475, 0.8705], [0.6211, 0.7475, 0.6295], [0.1211, 0.7525, 0.1295], [0.3789, 0.2525, 0.3705], [0.3917, 0.0905, 0.8549], [0.1083, 0.5905, 0.6451], [0.6083, 0.9095, 0.1451], [0.8917, 0.4095, 0.3549], [0.1237, 0.9105, 0.6203], [0.3763, 0.4105, 0.8797], [0.8763, 0.0895, 0.3797], [0.6237, 0.5895, 0.1203]], "magnetic_moment_mub_per_atom": 0.000, "final_energy_ha_per_atom": -0.11441, "formation_energy_ev_per_fu": -0.969, "relative_energy_mev_per_atom": 19.2, "space_group": "P2_1/c"}

***

(5)
{"formula": "Dy4CdPd7", "functional": "PBE-GGA", "state": "relaxed", "lattice": [[5.2137, 0.0000, 0.0000], [2.6069, 9.0448, -0.0885], [2.6069, 0.2341, 5.3823]], "species": ["Dy", "Dy", "Dy", "Dy", "Cd", "Pd", "Pd", "Pd", "Pd", "Pd", "Pd", "Pd"], "fractional_positions": [[0.5948, 0.2116, 0.5987], [0.4052, 0.7884, 0.4013], [0.7895, 0.6333, 0.7876], [0.2105, 0.3667, 0.2124], [0.0000, 0.0000, 0.0000], [0.7893, 0.9046, 0.5169], [0.2107, 0.0954, 0.4831], [0.0766, 0.6881, 0.1588], [0.9234, 0.3119, 0.8412], [0.3683, 0.5199, 0.7435], [0.5000, 0.0000, 0.0000], [0.6317, 0.4801, 0.2565]], "magnetic_moment_mub_per_atom": 0.000, "final_energy_ha_per_atom": -0.19482, "formation_energy_ev_per_fu": -7.943, "space_group": "C2/m"}

***

(6)
{"formula": "Ta5Nb2Pt", "functional": "PBE-GGA", "state": "relaxed", "lattice": [[-1.0821, -1.3187, -2.3054], [8.3445, -0.0697, -3.8770], [-2.8188, -4.3342, 4.9300]], "species": ["Ta", "Ta", "Ta", "Ta", "Ta", "Nb", "Nb", "Pt"], "fractional_positions": [[0.0000, 0.5000, 0.0000], [0.7415, 0.3781, 0.2530], [0.2585, 0.6219, 0.7470], [0.7415, 0.8749, 0.2530], [0.2585, 0.1251, 0.7470], [0.4916, 0.7510, 0.5021], [0.5084, 0.2490, 0.4979], [0.0000, 0.0000, 0.0000]], "magnetic_moment_mub_per_atom": 0.000, "final_energy_ha_per_atom": -0.39910, "formation_energy_ev_per_fu": -1.437, "space_group": "C2/m"}

***

(7)
{"formula": "TlW", "functional": "PBE-GGA", "state": "relaxed", "lattice": [[-5.1920, 6.8126, 1.6902], [-5.7078, -2.8742, -5.9486], [-4.0853, -4.6425, 6.1630]], "species": ["Tl", "Tl", "Tl", "Tl", "Tl", "Tl", "Tl", "Tl", "W", "W", "W", "W", "W", "W", "W", "W"], "fractional_positions": [[0.2874, 0.2874, 0.2874], [0.2874, 0.7126, 0.7126], [0.7126, 0.2874, 0.7126], [0.7126, 0.7126, 0.2874], [0.7874, 0.7874, 0.7874], [0.7874, 0.2126, 0.2126], [0.2126, 0.7874, 0.2126], [0.2126, 0.2126, 0.7874], [0.1009, 0.1009, 0.1009], [0.1009, 0.8991, 0.8991], [0.8991, 0.1009, 0.8991], [0.8991, 0.8991, 0.1009], [0.6009, 0.6009, 0.6009], [0.6009, 0.3991, 0.3991], [0.3991, 0.6009, 0.3991], [0.3991, 0.3991, 0.6009]], "magnetic_moment_mub_per_atom": 0.000, "final_energy_ha_per_atom": -0.22726, "formation_energy_ev_per_fu": 2.951, "relative_energy_mev_per_atom": 851.7, "space_group": "I-43m"}

***

(8)
{"formula": "HoScPt", "functional": "PBE-GGA", "state": "relaxed", "lattice": [[-3.1704, 6.3650, -0.0090], [-0.6593, 3.6544, 7.6200], [5.2298, 6.5786, 1.1075]], "species": ["Ho", "Ho", "Ho", "Ho", "Ho", "Ho", "Sc", "Sc", "Sc", "Sc", "Sc", "Sc", "Pt", "Pt", "Pt", "Pt", "Pt", "Pt"], "fractional_positions": [[0.1636, 0.0447, 0.5447], [0.7529, 0.9553, 0.4553], [0.3430, 0.7500, 0.2500], [0.3430, 0.2500, 0.7500], [0.7531, 0.4554, 0.9554], [0.1638, 0.5446, 0.0446], [0.0094, 0.0000, 0.0000], [0.0094, 0.5000, 0.5000], [0.7536, 0.3717, 0.3717], [0.4971, 0.6283, 0.6283], [0.4971, 0.1283, 0.1283], [0.7536, 0.8717, 0.8717], [0.7530, 0.2500, 0.7500], [0.7531, 0.7500, 0.2500], [0.0870, 0.1665, 0.1665], [0.4200, 0.8335, 0.8335], [0.4200, 0.3335, 0.3335], [0.0870, 0.6665, 0.6665]], "magnetic_moment_mub_per_atom": 0.000, "final_energy_ha_per_atom": -0.24358, "formation_energy_ev_per_fu": -2.934, "relative_energy_mev_per_atom": 0.0, "space_group": "Amm2"}

***

(9)
{"formula": "Y2Th3Rh2", "functional": "PBE-GGA", "state": "relaxed", "lattice": [[-2.8162, -0.8225, -2.4793], [-5.0437, -1.5307, 3.2612], [-5.5618, 7.1754, 0.9615]], "species": ["Y", "Y", "Th", "Th", "Th", "Rh", "Rh"], "fractional_positions": [[0.1627, 0.4719, 0.2026], [0.8373, 0.5281, 0.7974], [0.5000, 0.0000, 0.0000], [0.3795, 0.8037, 0.4373], [0.6205, 0.1963, 0.5627], [0.1380, 0.9302, 0.7938], [0.8620, 0.0698, 0.2062]], "magnetic_moment_mub_per_atom": 0.000, "final_energy_ha_per_atom": -0.28180, "formation_energy_ev_per_fu": -3.787, "space_group": "C2/m"}

***

(10)
{"formula": "K3Cu2", "functional": "PBE-GGA", "state": "relaxed", "lattice": [[-12.4712, 0.4605, 0.2149], [-11.7856, -3.2390, -2.5293], [-11.7240, -3.7313, 2.1012]], "species": ["K", "K", "K", "Cu", "Cu"], "fractional_positions": [[0.0000, 0.0000, 0.0000], [0.7771, 0.7771, 0.7771], [0.2229, 0.2229, 0.2229], [0.3910, 0.3910, 0.3910], [0.6090, 0.6090, 0.6090]], "magnetic_moment_mub_per_atom": 0.000, "final_energy_ha_per_atom": -0.06905, "formation_energy_ev_per_fu": 2.090, "relative_energy_mev_per_atom": 33.3, "space_group": "R-3m"}

***

(11)
{"formula": "YZnNi2", "functional": "PBE-GGA", "state": "relaxed", "lattice": [[4.3186, 0.0000, 0.0000], [0.0000, 4.3145, 0.0000], [0.0000, 0.0000, 3.4127]], "species": ["Ni", "Ni", "Y", "Zn"], "fractional_positions": [[0.0000, 0.0000, 0.0000], [0.5000, 0.5000, 0.0000], [0.5000, 0.0000, 0.5000], [0.0000, 0.5000, 0.5000]], "magnetic_moment_mub_per_atom": 0.000, "final_energy_ha_per_atom": -0.18405, "formation_energy_ev_per_fu": -0.732, "space_group": "P4/mmm"}

***

(12)
{"formula": "MnB3I", "functional": "PBE-GGA", "state": "relaxed", "lattice": [[4.3505, 0.0000, 0.0000], [0.0000, 4.3505, 0.0000], [0.0000, 0.0000, 4.3505]], "species": ["I", "B", "B", "B", "Mn"], "fractional_positions": [[0.0000, 0.0000, 0.0000], [0.0000, 0.5000, 0.0000], [0.0000, 0.0000, 0.5000], [0.5000, 0.0000, 0.0000], [0.5000, 0.5000, 0.5000]], "magnetic_moment_mub_per_atom": 0.101, "raw_formation_energy_ev_per_atom": 3.1520, "final_energy_ha_per_atom": -0.11019, "relative_energy_mev_per_atom": 1658.7, "space_group": "Pm-3m"}

***

(13)
{"formula": "InCoMo2", "functional": "PBE-GGA", "state": "relaxed", "lattice": [[-8.7543, -0.6311, -2.7947], [-9.0578, -1.6664, -0.1590], [-9.1198, 1.1465, -0.5999]], "species": ["Co", "In", "Mo", "Mo"], "fractional_positions": [[0.2500, 0.2500, 0.2500], [0.7500, 0.7500, 0.7500], [0.9917, 0.9917, 0.9917], [0.5083, 0.5083, 0.5083]], "magnetic_moment_mub_per_atom": 0.206, "final_energy_ha_per_atom": -0.27299, "formation_energy_ev_per_fu": 1.793, "space_group": "R-3m"}

***

(14)
{"formula": "Dy5Tl2Au2", "functional": "PBE-GGA", "state": "relaxed", "lattice": [[-4.6303, -3.7223, -4.2510], [6.0238, -0.4136, -6.1991], [-0.3778, -6.5045, 6.1070]], "species": ["Dy", "Dy", "Dy", "Dy", "Dy", "Dy", "Dy", "Dy", "Dy", "Dy", "Tl", "Tl", "Tl", "Tl", "Au", "Au", "Au", "Au"], "fractional_positions": [[0.0000, 0.0000, 0.0000], [0.5000, 0.5000, 0.0000], [0.8459, 0.8105, 0.2567], [0.1541, 0.4462, 0.2567], [0.3459, 0.9462, 0.2567], [0.6541, 0.3105, 0.2567], [0.1541, 0.1895, 0.7433], [0.8459, 0.5538, 0.7433], [0.6541, 0.0538, 0.7433], [0.3459, 0.6895, 0.7433], [0.0000, 0.2104, 0.4209], [0.5000, 0.7104, 0.4209], [0.0000, 0.7896, 0.5791], [0.5000, 0.2896, 0.5791], [0.6330, 0.8705, 0.0000], [0.3670, 0.1295, 0.0000], [0.1330, 0.6295, 0.0000], [0.8670, 0.3705, 0.0000]], "magnetic_moment_mub_per_atom": 0.000, "final_energy_ha_per_atom": -0.15914, "formation_energy_ev_per_fu": -4.676, "space_group": "Cmce"}

***

(15)
{"formula": "Al2BiPb", "functional": "PBE-GGA", "state": "relaxed", "lattice": [[6.5310, 0.0000, 0.0000], [0.0000, 6.5310, 0.0000], [3.2655, 3.2655, 6.2668]], "species": ["Pb", "Pb", "Bi", "Bi", "Al", "Al", "Al", "Al"], "fractional_positions": [[0.5000, 0.5000, 0.0000], [0.2500, 0.7500, 0.5000], [0.0000, 0.0000, 0.0000], [0.7500, 0.2500, 0.5000], [0.6231, 0.1250, 0.2500], [0.1269, 0.6250, 0.2500], [0.3750, 0.3769, 0.7500], [0.8750, 0.8731, 0.7500]], "magnetic_moment_mub_per_atom": 0.000, "final_energy_ha_per_atom": -0.12803, "formation_energy_ev_per_fu": 1.139, "space_group": "I-42d"}

***

(16)
{"formula": "LiIrRu", "functional": "PBE-GGA", "state": "relaxed", "lattice": [[-3.6010, 2.4587, -4.0727], [0.5935, -4.7930, 3.5034], [-1.8510, 1.7308, 2.6815]], "species": ["Ru", "Ru", "Ir", "Ir", "Li", "Li"], "fractional_positions": [[0.2426, 0.7574, 0.2500], [0.7574, 0.2426, 0.7500], [0.5787, 0.4213, 0.2500], [0.4213, 0.5787, 0.7500], [0.9204, 0.0796, 0.2500], [0.0796, 0.9204, 0.7500]], "magnetic_moment_mub_per_atom": 0.000, "final_energy_ha_per_atom": -0.24235, "formation_energy_ev_per_fu": 0.267, "relative_energy_mev_per_atom": 106.4, "space_group": "Cmcm"}

***

(17)
{"formula": "CoPb2Cl", "functional": "PBE-GGA", "state": "relaxed", "lattice": [[-1.3183, 2.1478, 2.8780], [-3.2024, -1.0152, 1.8298], [2.6295, -3.7084, 6.4638]], "species": ["Pb", "Pb", "Co", "Cl"], "fractional_positions": [[0.0197, 0.0197, 0.9451], [0.4803, 0.4803, 0.5549], [0.7500, 0.7500, 0.7500], [0.2500, 0.2500, 0.2500]], "magnetic_moment_mub_per_atom": 0.053, "raw_formation_energy_ev_per_atom": 0.0246, "final_energy_ha_per_atom": -0.14949, "relative_energy_mev_per_atom": 42.7, "space_group": "C2/m"}

***

(18)
{"formula": "Eu2As3", "functional": "PBE-GGA", "state": "relaxed", "lattice": [[5.9159, 0.0000, 0.0000], [0.0000, 12.1175, -0.0110], [0.0000, 11.9448, 14.1442]], "species": ["Eu", "Eu", "Eu", "Eu", "Eu", "Eu", "Eu", "Eu", "Eu", "Eu", "Eu", "Eu", "Eu", "Eu", "Eu", "Eu", "As", "As", "As", "As", "As", "As", "As", "As", "As", "As", "As", "As", "As", "As", "As", "As", "As", "As", "As", "As", "As", "As", "As", "As"], "fractional_positions": [[0.9775, 0.0000, 0.2500], [0.0225, 0.0000, 0.7500], [0.7488, 0.6228, 0.0020], [0.2512, 0.3772, 0.9980], [0.7488, 0.3772, 0.4980], [0.2512, 0.6228, 0.5020], [0.5385, 0.7628, 0.2480], [0.4615, 0.2372, 0.7520], [0.5385, 0.2372, 0.2520], [0.4615, 0.7628, 0.7480], [0.9196, 0.5000, 0.2500], [0.0804, 0.5000, 0.7500], [0.7460, 0.8664, 0.5077], [0.2540, 0.1336, 0.4923], [0.7460, 0.1336, 0.9923], [0.2540, 0.8664, 0.0077], [0.9619, 0.8402, 0.6703], [0.0381, 0.1598, 0.3297], [0.9619, 0.1598, 0.8297], [0.0381, 0.8402, 0.1703], [0.7445, 0.7078, 0.4238], [0.2555, 0.2922, 0.5762], [0.7445, 0.2922, 0.0762], [0.2555, 0.7078, 0.9238], [0.7643, 0.8100, 0.0759], [0.2357, 0.1900, 0.9241], [0.7643, 0.1900, 0.4241], [0.2357, 0.8100, 0.5759], [0.4680, 0.9194, 0.3430], [0.5320, 0.0806, 0.6570], [0.4680, 0.0806, 0.1570], [0.5320, 0.9194, 0.8430], [0.3990, 0.5472, 0.1653], [0.6010, 0.4528, 0.8347], [0.3990, 0.4528, 0.3347], [0.6010, 0.5472, 0.6653], [0.9078, 0.3912, 0.6543], [0.0922, 0.6088, 0.3457], [0.9078, 0.6088, 0.8457], [0.0922, 0.3912, 0.1543]], "magnetic_moment_mub_per_atom": 0.693, "final_energy_ha_per_atom": -0.28860, "formation_energy_ev_per_fu": -4.768, "space_group": "P2/c"}

***

(19)
{"formula": "SrGePd", "functional": "PBE-GGA", "state": "relaxed", "lattice": [[-2.6751, 1.1155, 3.2979], [-1.6215, -4.0721, 0.0621], [3.4733, 1.0140, 2.4744]], "species": ["Sr", "Ge", "Pd"], "fractional_positions": [[0.6667, 0.3333, 0.6667], [0.1668, 0.0000, 0.0000], [0.1666, 0.6667, 0.3333]], "magnetic_moment_mub_per_atom": 0.000, "final_energy_ha_per_atom": -0.16674, "formation_energy_ev_per_fu": -2.120, "space_group": "P-6m2"}

***

(20)
{"formula": "Sr5Zn2Au", "functional": "PBE-GGA", "state": "relaxed", "lattice": [[-3.2571, -5.0337, -5.3326], [7.2334, -3.1646, -1.4308], [-3.2971, -1.7508, 9.7032]], "species": ["Sr", "Sr", "Sr", "Sr", "Sr", "Sr", "Sr", "Sr", "Sr", "Sr", "Zn", "Zn", "Zn", "Zn", "Au", "Au"], "fractional_positions": [[0.5266, 0.6730, 0.6996], [0.8270, 0.9734, 0.3004], [0.0000, 0.0000, 0.0000], [0.5000, 0.5000, 0.0000], [0.1730, 0.0266, 0.6996], [0.6730, 0.1730, 0.6996], [0.0266, 0.5266, 0.6996], [0.3270, 0.8270, 0.3004], [0.9734, 0.4734, 0.3004], [0.4734, 0.3270, 0.3004], [0.1110, 0.3890, 0.0000], [0.6110, 0.1110, 0.0000], [0.3890, 0.8890, 0.0000], [0.8890, 0.6110, 0.0000], [0.7500, 0.7500, 0.5000], [0.2500, 0.2500, 0.5000]], "magnetic_moment_mub_per_atom": 0.000, "final_energy_ha_per_atom": -0.07652, "formation_energy_ev_per_fu": -2.422, "space_group": "I4/mcm"}

***

(21)
{"formula": "Tb12Dy3In", "functional": "PBE-GGA", "state": "relaxed", "lattice": [[-3.2958, -3.4593, 1.3598], [-0.7171, -1.1915, -4.7691], [14.8106, -13.6455, 1.1824]], "species": ["Tb", "Tb", "Tb", "Tb", "Tb", "Tb", "Tb", "Tb", "Tb", "Tb", "Tb", "Tb", "Dy", "Dy", "Dy", "In"], "fractional_positions": [[0.5000, 0.5000, 0.0000], [0.5000, 0.5000, 0.2452], [0.5000, 0.5000, 0.5000], [0.5000, 0.5000, 0.7548], [0.5000, 0.0000, 0.1211], [0.5000, 0.0000, 0.3736], [0.5000, 0.0000, 0.6264], [0.5000, 0.0000, 0.8789], [0.0000, 0.5000, 0.1211], [0.0000, 0.5000, 0.3736], [0.0000, 0.5000, 0.6264], [0.0000, 0.5000, 0.8789], [0.0000, 0.0000, 0.2485], [0.0000, 0.0000, 0.5000], [0.0000, 0.0000, 0.7515], [0.0000, 0.0000, 0.0000]], "magnetic_moment_mub_per_atom": 0.000, "final_energy_ha_per_atom": -0.16736, "formation_energy_ev_per_fu": -0.756, "space_group": "P4/mmm"}

***

(22)
{"formula": "TlAgPd", "functional": "PBE-GGA", "state": "relaxed", "lattice": [[3.5672, 0.0000, 0.0000], [0.0000, 3.5672, 0.0000], [-1.7836, -1.7836, 4.5299]], "species": ["Tl", "Ag", "Pd"], "fractional_positions": [[0.2873, 0.2873, 0.5746], [0.6107, 0.6107, 0.2215], [0.9520, 0.9520, 0.9039]], "magnetic_moment_mub_per_atom": 0.000, "final_energy_ha_per_atom": -0.12779, "formation_energy_ev_per_fu": -0.022, "relative_energy_mev_per_atom": 42.6, "space_group": "I4mm"}